# 1
Compound: AcLa2SbO8
Source: the Alexandria database
Functional: PBE
Structure: relaxed

Results
- calculated density (kg/m3) = 6681
- E_form (uncorrected) (eV per atom) = -2.52
- space-group type = P-1 (2)
- V (Å³/cell) = 187.55

a = 4.521 Å, b = 5.611 Å, c = 7.394 Å
α = 89.85°, β = 89.89°, γ = 89.45°
Atoms (fractional coordinates):
Ac  0.000  0.000  0.500
La  0.498  0.499  0.748
La  0.502  0.501  0.252
Sb  0.000  0.000  0.000
O  0.060  0.757  0.198
O  0.579  0.884  0.999
O  0.939  0.242  0.198
O  0.940  0.243  0.802
O  0.421  0.116  0.001
O  0.061  0.758  0.802
O  0.538  0.741  0.500
O  0.462  0.259  0.500

***

# 2
Compound: Ca3NdGa2
Source: the Alexandria database
Functional: PBE
Structure: relaxed

Results
- calculated density (kg/m3) = 3843
- space-group type = Pmc2_1 (26)
- V (Å³/cell) = 349.03
- energy relative to the elements (eV/atom) = -0.3574

a = 5.061 Å, b = 7.223 Å, c = 9.547 Å
α = 90.00°, β = 90.00°, γ = 90.00°
Atoms (fractional coordinates):
Ca  0.000  0.473  0.933
Ca  0.000  0.973  0.067
Ca  0.500  0.663  0.175
Ca  0.500  0.163  0.825
Ca  0.000  0.339  0.314
Ca  0.000  0.839  0.686
Nd  0.500  0.527  0.559
Nd  0.500  0.027  0.441
Ga  0.500  0.724  0.853
Ga  0.500  0.224  0.147
Ga  0.000  0.273  0.632
Ga  0.000  0.773  0.368